(1)
AgBNF2 | GGA-PBE | optimized geometry

CIF file:
```
data_AgBNF2
_chemical_formula_sum 'Ag1 B1 N1 F2'
_cell_length_a 4.4150
_cell_length_b 4.4150
_cell_length_c 2.7563
_cell_angle_alpha 90.00
_cell_angle_beta 90.00
_cell_angle_gamma 90.00
_symmetry_space_group_name_H-M 'P 4/m m m'
_symmetry_Int_Tables_number 123
_symmetry_space_group_name_Hall '-P 4 2'
loop_
_atom_site_label
_atom_site_type_symbol
_atom_site_fract_x
_atom_site_fract_y
_atom_site_fract_z
Ag1 Ag 0.0000 0.0000 0.0000
B1 B 0.5000 0.5000 0.5000
N1 N 0.5000 0.5000 0.0000
F1 F 0.0000 0.5000 0.5000
```

energy above the lowest structure with this stoichiometry	0.00	eV per formula unit
uncorrected energy	-24.39	eV for the cell shown

=====

(2)
SrGeB2Pt | GGA-PBE | optimized geometry

CIF file:
```
data_SrGeB2Pt
_chemical_formula_sum 'Sr1 Ge1 B2 Pt1'
_cell_length_a 4.2145
_cell_length_b 4.2145
_cell_length_c 5.9702
_cell_angle_alpha 90.00
_cell_angle_beta 90.00
_cell_angle_gamma 90.00
_symmetry_space_group_name_H-M 'P 4/m m m'
_symmetry_Int_Tables_number 123
_symmetry_space_group_name_Hall '-P 4 2'
loop_
_atom_site_label
_atom_site_type_symbol
_atom_site_fract_x
_atom_site_fract_y
_atom_site_fract_z
Sr1 Sr 0.0000 0.0000 0.0000
Ge1 Ge 0.5000 0.5000 0.0000
B1 B 0.0000 0.5000 0.5000
Pt1 Pt 0.0000 0.0000 0.5000
```

energy relative to the elements	13.8	kcal/mol of atoms
uncorrected energy	-22.71	eV for the cell shown